A geometry-optimized BaWAu2 structure, computed with GGA-PBEsol.

Cell lengths 3.0356, 3.0356, 9.0273 Å; angles 90.00, 90.00, 90.00 degrees
Last column: nearest neighbours and their distance in Å.
Sites, in units of the cell vectors:
Ba 0.0000 0.0000 0.0000  4 Ba 3.04, 4 Au 3.39
W 0.5000 0.5000 0.3031  4 Au 2.77, 4 W 3.04
Au 0.0000 0.0000 0.4968  4 W 2.77, 8 Au 2.88-3.04
Au 0.5000 0.5000 0.7092  8 Au 2.88-3.04

Properties
Formation enthalpy at 0 K = 0.53 eV per atom
Theoretical density = 14.275 Mg/m³